No. 1
A relaxed NaLa2ScCr crystal, computed with PBE-GGA.

```
data_NaLa2ScCr
_chemical_formula_sum 'Na1 La2 Sc1 Cr1'
_symmetry_space_group_name_H-M 'P 4/m m m'
_symmetry_Int_Tables_number 123
_symmetry_space_group_name_Hall '-P 4 2'
_cell_length_a 5.6540
_cell_length_b 5.6540
_cell_length_c 4.7107
_cell_angle_alpha 90.00
_cell_angle_beta 90.00
_cell_angle_gamma 90.00
loop_
_atom_site_label
_atom_site_fract_x
_atom_site_fract_y
_atom_site_fract_z
Na1 0.0000 0.0000 0.0000
La1 0.0000 0.5000 0.0000
Sc1 0.5000 0.5000 0.5000
Cr1 0.0000 0.0000 0.5000
```

Output
- Total moment: 0.203 μB per formula unit
- Calculated formation energy: 1372.4 meV/atom
- Total energy: -4.0534 eV per atom


No. 2
A relaxed Tb6Ge2As3Se crystal, computed with PBE-GGA.

```
data_Tb6Ge2As3Se
_chemical_formula_sum 'Tb12 Ge4 As6 Se2'
_symmetry_space_group_name_H-M 'C 1 2/m 1'
_symmetry_Int_Tables_number 12
_cell_length_a 18.1051
_cell_length_b 4.0987
_cell_length_c 8.3580
_cell_angle_alpha 90.00
_cell_angle_beta 103.36
_cell_angle_gamma 90.00
loop_
_symmetry_equiv_pos_as_xyz
'x,y,z'
'-x,-y,-z'
'-x,y,-z'
'x,-y,z'
'x+1/2,y+1/2,z'
'-x+1/2,-y+1/2,-z'
'-x+1/2,y+1/2,-z'
'x+1/2,-y+1/2,z'
loop_
_atom_site_label
_atom_site_fract_x
_atom_site_fract_y
_atom_site_fract_z
Tb1 0.0009 0.0000 0.2566
Tb2 0.1663 0.5000 0.5862
Tb3 0.1680 0.5000 0.0823
Ge1 0.1662 0.0000 0.3325
As1 0.0000 0.5000 0.5000
As2 0.1644 0.0000 0.8342
Se1 0.0000 0.5000 0.0000
```

Output
- Total moment: 0.000 μB per formula unit
- Uncorrected formation energy: -1.35 eV/atom
- Total energy: -5.8875 eV per atom


No. 3
A relaxed TaReNi crystal, computed with PBE-GGA.

```
data_TaReNi
_chemical_formula_sum 'Ta4 Re4 Ni4'
_symmetry_space_group_name_H-M 'F -4 3 m'
_symmetry_Int_Tables_number 216
_symmetry_space_group_name_Hall 'F -4 2 3'
_cell_length_a 5.9727
_cell_length_b 5.9727
_cell_length_c 5.9727
_cell_angle_alpha 90.00
_cell_angle_beta 90.00
_cell_angle_gamma 90.00
loop_
_atom_site_label
_atom_site_fract_x
_atom_site_fract_y
_atom_site_fract_z
Ta1 0.0000 0.0000 0.0000
Re1 0.2500 0.2500 0.7500
Ni1 0.2500 0.2500 0.2500
```

Output
- Total moment: 0.000 μB per formula unit
- Relative energy among the computed polymorphs: 819 meV/atom
- Calculated formation energy: 785.2 meV/atom
- Total energy: -9.2422 eV per atom


No. 4
A relaxed Er8Te3S3N crystal, computed with PBE-GGA.

```
data_Er8Te3S3N
_chemical_formula_sum 'Er16 Te6 S6 N2'
_symmetry_space_group_name_H-M 'C 1 2/m 1'
_symmetry_Int_Tables_number 12
_cell_length_a 13.6108
_cell_length_b 7.8657
_cell_length_c 8.2575
_cell_angle_alpha 90.00
_cell_angle_beta 123.32
_cell_angle_gamma 90.00
loop_
_symmetry_equiv_pos_as_xyz
'x,y,z'
'-x,-y,-z'
'-x,y,-z'
'x,-y,z'
'x+1/2,y+1/2,z'
'-x+1/2,-y+1/2,-z'
'-x+1/2,y+1/2,-z'
'x+1/2,-y+1/2,z'
loop_
_atom_site_label
_atom_site_fract_x
_atom_site_fract_y
_atom_site_fract_z
Er1 0.0115 0.2256 0.3089
Er2 0.2142 0.0000 0.6914
Er3 0.2327 0.5000 0.6983
Te1 0.0000 0.0000 0.0000
Te2 0.2500 0.2500 0.0000
S1 0.0000 0.5000 0.5000
S2 0.2500 0.2500 0.5000
N1 0.0000 0.0000 0.5000
```

Output
- Total moment: 0.000 μB per formula unit
- Uncorrected formation energy: -1.43 eV/atom
- Total energy: -5.8762 eV per atom


The highest total moment belongs to which entry?
NaLa2ScCr


Look up the total energy of the third one.
-9.2422 eV per atom


What is the formula in the first record?
NaLa2ScCr